[1]
# TaIn2Fe

A geometry-optimized TaIn2Fe structure (GGA-PBE, Alexandria via LeMat-Bulk).

a b c (Å): 3.2023 3.2023 26.7922
angles (deg): 90.00 90.00 120.00
Space group R3m (No. 160, hexagonal axes)
One atom of each set of equivalent atoms:
Ta (0.0000, 0.0000, 0.0000)
In (0.0000, 0.0000, 0.5283)
In (0.0000, 0.0000, 0.7622)
Fe (0.0000, 0.0000, 0.2757)

Properties
As for the magnetic moment: 1.5 μB/cell. As for the formation energy: 0.2473 eV/atom. The total energy comes out at -6.20 eV per atom.

[2]
# CaCuPd2

A geometry-optimized CaCuPd2 structure (GGA-PBE, Alexandria via LeMat-Bulk).

a b c (Å): 6.510 6.510 6.510
angles (deg): 90.00 90.00 90.00
Space group Fm-3m (No. 225)
One atom of each set of equivalent atoms:
Ca (0.000, 0.000, 0.000)
Cu (0.000, 0.000, 0.500)
Pd (0.250, 0.250, 0.250)

Properties
As for the magnetic moment: 0.0 μB/cell. As for the formation energy: -0.3657 eV/atom. The total energy comes out at -4.49 eV per atom.

[3]
# Nd7Tl5In

A geometry-optimized Nd7Tl5In structure (GGA-PBE, Alexandria via LeMat-Bulk).

a b c (Å): 6.796 10.875 11.114
angles (deg): 90.00 90.00 90.00
Space group Imm2 (No. 44)
One atom of each set of equivalent atoms:
Nd (0.000, 0.000, 0.000)
Nd (0.000, 0.000, 0.359)
Nd (0.000, 0.319, 0.609)
Nd (0.000, 0.325, 0.092)
Nd (0.000, 0.500, 0.332)
Tl (0.000, 0.500, 0.848)
Tl (0.241, 0.238, 0.854)
In (0.000, 0.000, 0.659)

Properties
As for the magnetic moment: 0.0 μB/cell. As for the formation energy: -0.2084 eV/atom. The total energy comes out at -3.90 eV per atom.